# MgRe2NiO

An optimized crystal structure of MgRe2NiO (PBE with a Hubbard U, the Alexandria database).

Computed properties:
As for the space group: No. 123. The value obtained for the total energy is -4.635 eV/atom.

a b c (Å): 4.7692 3.4086 4.7692
angles (deg): 90.00 90.00 90.00
Each line ends with the local moment (μB).
Element x y z (fractional)
Mg (0.0000, 0.0000, 0.0000)  0.00
O (0.0000, 0.5000, 0.0000)  -0.01
Re (0.5000, 0.0000, 0.0000)  0.53
Ni (0.5000, 0.5000, 0.5000)  0.00
Re (0.0000, 0.0000, 0.5000)  0.66